AgSbW2 | PBE | relaxed

Total energy: -7.30 eV/atom
DOS at the Fermi energy: 8.95 states/eV per cell
Energy relative to the elements, uncorrected: 923 meV/atom

Lattice parameters (Å, degrees): 3.885 3.885 20.381 90.00 90.00 90.00
Sites, in units of the cell vectors:
Ag  0.000  0.000  0.000
Ag  0.000  0.500  0.250
Ag  0.500  0.000  0.750
Ag  0.500  0.500  0.500
Sb  0.000  0.000  0.500
Sb  0.000  0.500  0.750
Sb  0.500  0.000  0.250
Sb  0.500  0.500  0.000
W  0.231  0.250  0.125
W  0.250  0.731  0.375
W  0.250  0.769  0.875
W  0.269  0.250  0.625
W  0.731  0.750  0.625
W  0.750  0.231  0.875
W  0.750  0.269  0.375
W  0.769  0.750  0.125